[1]
Crystalline NdSm14Al at its relaxed geometry. Source: the Alexandria database, functional PBE.

Output
V in A^3/atom: 32.78
DFT formation energy in eV per atom: 0.02
Space-group type: No. 38

Lattice parameters (Å, degrees): 11.194 6.977 6.977 74.28 90.00 90.00
Sites, in units of the cell vectors:
Nd (0.000, 0.000, 0.000)
Sm (0.000, 0.518, 0.941)
Sm (0.000, 0.941, 0.518)
Sm (0.233, 0.308, 0.717)
Sm (0.233, 0.717, 0.308)
Sm (0.235, 0.234, 0.234)
Sm (0.258, 0.798, 0.798)
Sm (0.500, 0.004, 0.004)
Sm (0.500, 0.436, 0.436)
Sm (0.500, 0.508, 0.931)
Sm (0.500, 0.931, 0.508)
Sm (0.742, 0.798, 0.798)
Sm (0.765, 0.234, 0.234)
Sm (0.767, 0.308, 0.717)
Sm (0.767, 0.717, 0.308)
Al (0.000, 0.447, 0.447)

---

[2]
Crystalline LuPu2Ga at its relaxed geometry. Source: the Alexandria database, functional PBE.

Output
V in A^3/atom: 24.69
DFT formation energy in eV per atom: -0.05
Polymorph energy (0 for the lowest one) in meV per atom: 120
Space-group type: No. 123

Lattice parameters (Å, degrees): 3.955 3.955 6.312 90.00 90.00 90.00
Sites, in units of the cell vectors:
Lu (0.000, 0.000, 0.000)
Pu (0.500, 0.500, 0.275)
Pu (0.500, 0.500, 0.725)
Ga (0.000, 0.000, 0.500)